Entry 1:
# Ce3GaOs (GGA-PBE, optimized geometry)
data_Ce3GaOs
_chemical_formula_sum 'Ce24 Ga8 Os8'
_space_group_name_H-M_alt 'F m m m'
_space_group_IT_number 69
_space_group_name_Hall '-F 2 2'
_cell_length_a 6.428
_cell_length_b 9.145
_cell_length_c 15.961
_cell_angle_alpha 90.00
_cell_angle_beta 90.00
_cell_angle_gamma 90.00
loop_
_atom_site_label
_atom_site_type_symbol
_atom_site_fract_x
_atom_site_fract_y
_atom_site_fract_z
_atom_site_occupancy
Ce1 Ce 0.000 0.000 0.198 1
Ce2 Ce 0.000 0.206 0.408 1
Ga1 Ga 0.194 0.000 0.000 1
Os1 Os 0.250 0.250 0.250 1
# Total DFT energy (no corrections)   -33.72 eV per formula unit
# E_form   -0.33 eV/atom
# Volume   938 Å³/cell
# Energy above the most stable polymorph in this dataset   0 meV per atom
# Mass density   9.631 g cm⁻³

***

Entry 2:
# CsH2F3 (GGA-PBE, optimized geometry)
data_CsH2F3
_chemical_formula_sum 'Cs4 H8 F12'
_space_group_name_H-M_alt 'I m m a'
_space_group_IT_number 74
_space_group_name_Hall '-I 2b 2'
_cell_length_a 6.881
_cell_length_b 9.804
_cell_length_c 6.291
_cell_angle_alpha 90.00
_cell_angle_beta 90.00
_cell_angle_gamma 90.00
loop_
_atom_site_label
_atom_site_type_symbol
_atom_site_fract_x
_atom_site_fract_y
_atom_site_fract_z
_atom_site_occupancy
Cs1 Cs 0.000 0.250 0.062 1
H1 H 0.000 0.051 0.559 1
F1 F 0.152 0.000 0.500 1
F2 F 0.250 0.250 0.750 1
# Total DFT energy (no corrections)   -22.41 eV per formula unit
# Volume   424 Å³/cell
# Mass density   3.004 g cm⁻³

***

Entry 3:
# Ta2SiAsRu (GGA-PBE, optimized geometry)
data_Ta2SiAsRu
_chemical_formula_sum 'Ta2 Si1 As1 Ru1'
_space_group_name_H-M_alt 'P 4/m m m'
_space_group_IT_number 123
_space_group_name_Hall '-P 4 2'
_cell_length_a 4.878
_cell_length_b 4.878
_cell_length_c 4.365
_cell_angle_alpha 90.00
_cell_angle_beta 90.00
_cell_angle_gamma 90.00
loop_
_atom_site_label
_atom_site_type_symbol
_atom_site_fract_x
_atom_site_fract_y
_atom_site_fract_z
_atom_site_occupancy
Ta1 Ta 0.000 0.500 0.000 1
Si1 Si 0.000 0.000 0.500 1
As1 As 0.500 0.500 0.500 1
Ru1 Ru 0.000 0.000 0.000 1
# Total DFT energy (no corrections)   -39.19 eV per formula unit
# ΔE_f (raw)   772 meV per atom
# Volume   104 Å³/cell
# Mass density   9.050 g cm⁻³

***

Entry 4:
# Tb3FeIr8 (GGA-PBE, optimized geometry)
data_Tb3FeIr8
_chemical_formula_sum 'Tb9 Fe3 Ir24'
_space_group_name_H-M_alt 'R 3 m'
_space_group_IT_number 160
_space_group_name_Hall 'R 3 -2"'
_cell_length_a 5.3242
_cell_length_b 5.3242
_cell_length_c 26.0452
_cell_angle_alpha 90.00
_cell_angle_beta 90.00
_cell_angle_gamma 120.00
loop_
_atom_site_label
_atom_site_type_symbol
_atom_site_fract_x
_atom_site_fract_y
_atom_site_fract_z
_atom_site_occupancy
Tb1 Tb 0.0000 0.0000 0.0000 1
Tb2 Tb 0.0000 0.0000 0.1285 1
Tb3 Tb 0.0000 0.0000 0.5119 1
Fe1 Fe 0.0000 0.0000 0.6417 1
Ir1 Ir 0.0000 0.0000 0.3154 1
Ir2 Ir 0.0000 0.0000 0.8160 1
Ir3 Ir 0.0011 0.5006 0.5672 1
Ir4 Ir 0.1671 0.3342 0.3981 1
# Total DFT energy (no corrections)   -99.30 eV per formula unit
# E_form   -0.50 eV/atom
# Volume   639 Å³/cell
# Mass density   16.130 g cm⁻³

***

Entry 5:
# RbUHgBr6 (GGA-PBE, optimized geometry)
data_RbUHgBr6
_chemical_formula_sum 'Rb2 U2 Hg2 Br12'
_space_group_name_H-M_alt 'P -3 1 c'
_space_group_IT_number 163
_space_group_name_Hall '-P 3 2c'
_cell_length_a 8.5372
_cell_length_b 8.5372
_cell_length_c 13.6164
_cell_angle_alpha 90.00
_cell_angle_beta 90.00
_cell_angle_gamma 120.00
loop_
_atom_site_label
_atom_site_type_symbol
_atom_site_fract_x
_atom_site_fract_y
_atom_site_fract_z
_atom_site_occupancy
Rb1 Rb 0.3333 0.6667 0.2500 1
U1 U 0.3333 0.6667 0.7500 1
Hg1 Hg 0.0000 0.0000 0.0000 1
Br1 Br 0.0729 0.4099 0.6350 1
# Total DFT energy (no corrections)   -33.69 eV per formula unit
# ΔE_f (raw)   -1233 meV per atom
# Volume   859 Å³/cell
# Mass density   3.878 g cm⁻³

***

Entry 6:
# Mg2FeRh (GGA-PBE, optimized geometry)
data_Mg2FeRh
_chemical_formula_sum 'Mg4 Fe2 Rh2'
_space_group_name_H-M_alt 'I 4/m m m'
_space_group_IT_number 139
_space_group_name_Hall '-I 4 2'
_cell_length_a 3.943
_cell_length_b 3.943
_cell_length_c 7.976
_cell_angle_alpha 90.00
_cell_angle_beta 90.00
_cell_angle_gamma 90.00
loop_
_atom_site_label
_atom_site_type_symbol
_atom_site_fract_x
_atom_site_fract_y
_atom_site_fract_z
_atom_site_occupancy
Mg1 Mg 0.000 0.500 0.250 1
Fe1 Fe 0.000 0.000 0.000 1
Rh1 Rh 0.000 0.000 0.500 1
# Total DFT energy (no corrections)   -19.24 eV per formula unit
# E_form   -0.06 eV/atom
# Volume   124 Å³/cell
# Mass density   5.554 g cm⁻³

***

Entry 7:
# AcNpSc2O8 (GGA-PBE, optimized geometry)
data_AcNpSc2O8
_chemical_formula_sum 'Ac1 Np1 Sc2 O8'
_space_group_name_H-M_alt 'P -1'
_space_group_IT_number 2
_cell_length_a 5.056
_cell_length_b 5.067
_cell_length_c 7.391
_cell_angle_alpha 84.64
_cell_angle_beta 84.67
_cell_angle_gamma 83.20
loop_
_space_group_symop_operation_xyz
'x,y,z'
'-x,-y,-z'
loop_
_atom_site_label
_atom_site_type_symbol
_atom_site_fract_x
_atom_site_fract_y
_atom_site_fract_z
_atom_site_occupancy
Ac1 Ac 0.000 0.000 0.000 1
Np1 Np 0.000 0.000 0.500 1
Sc1 Sc 0.463 0.462 0.214 1
O1 O 0.198 0.788 0.286 1
O2 O 0.210 0.799 0.715 1
O3 O 0.255 0.251 0.455 1
O4 O 0.332 0.328 0.998 1
# Total DFT energy (no corrections)   -106.39 eV per formula unit
# ΔE_f (raw)   -3084 meV per atom
# Volume   187 Å³/cell
# Mass density   6.070 g cm⁻³

***

Entry 8:
# AgSn5Sb4 (GGA-PBE, optimized geometry)
data_AgSn5Sb4
_chemical_formula_sum 'Ag2 Sn10 Sb8'
_space_group_name_H-M_alt 'I 4/m m m'
_space_group_IT_number 139
_space_group_name_Hall '-I 4 2'
_cell_length_a 4.328
_cell_length_b 4.328
_cell_length_c 30.484
_cell_angle_alpha 90.00
_cell_angle_beta 90.00
_cell_angle_gamma 90.00
loop_
_atom_site_label
_atom_site_type_symbol
_atom_site_fract_x
_atom_site_fract_y
_atom_site_fract_z
_atom_site_occupancy
Ag1 Ag 0.000 0.000 0.000 1
Sn1 Sn 0.000 0.000 0.095 1
Sn2 Sn 0.000 0.000 0.298 1
Sn3 Sn 0.000 0.000 0.500 1
Sb1 Sb 0.000 0.000 0.197 1
Sb2 Sb 0.000 0.000 0.399 1
# Total DFT energy (no corrections)   -38.92 eV per formula unit
# ΔE_f (raw)   44 meV per atom
# Volume   571 Å³/cell
# Mass density   6.912 g cm⁻³

***

Entry 9:
# Np3U2TiP6 (GGA-PBE, optimized geometry)
data_Np3U2TiP6
_chemical_formula_sum 'Np6 U4 Ti2 P12'
_space_group_name_H-M_alt 'C 1 2/m 1'
_space_group_IT_number 12
_cell_length_a 6.754
_cell_length_b 11.661
_cell_length_c 6.656
_cell_angle_alpha 90.00
_cell_angle_beta 109.69
_cell_angle_gamma 90.00
loop_
_space_group_symop_operation_xyz
'x,y,z'
'-x,-y,-z'
'-x,y,-z'
'x,-y,z'
'x+1/2,y+1/2,z'
'-x+1/2,-y+1/2,-z'
'-x+1/2,y+1/2,-z'
'x+1/2,-y+1/2,z'
loop_
_atom_site_label
_atom_site_type_symbol
_atom_site_fract_x
_atom_site_fract_y
_atom_site_fract_z
_atom_site_occupancy
Np1 Np 0.000 0.000 0.000 1
Np2 Np 0.000 0.329 0.000 1
U1 U 0.000 0.165 0.500 1
Ti1 Ti 0.000 0.500 0.500 1
P1 P 0.236 0.500 0.254 1
P2 P 0.238 0.340 0.737 1
# Total DFT energy (no corrections)   -112.91 eV per formula unit
# E_form   -0.93 eV/atom
# Volume   494 Å³/cell
# Mass density   9.560 g cm⁻³

***

Entry 10:
# BaYSc2Ru (GGA-PBE, optimized geometry)
data_BaYSc2Ru
_chemical_formula_sum 'Ba1 Y1 Sc2 Ru1'
_space_group_name_H-M_alt 'P 4/m m m'
_space_group_IT_number 123
_space_group_name_Hall '-P 4 2'
_cell_length_a 5.225
_cell_length_b 5.225
_cell_length_c 5.490
_cell_angle_alpha 90.00
_cell_angle_beta 90.00
_cell_angle_gamma 90.00
loop_
_atom_site_label
_atom_site_type_symbol
_atom_site_fract_x
_atom_site_fract_y
_atom_site_fract_z
_atom_site_occupancy
Ba1 Ba 0.000 0.000 0.000 1
Y1 Y 0.500 0.500 0.000 1
Sc1 Sc 0.000 0.500 0.500 1
Ru1 Ru 0.500 0.500 0.500 1
# Total DFT energy (no corrections)   -30.85 eV per formula unit
# E_form   -0.10 eV/atom
# Volume   150 Å³/cell
# Mass density   4.622 g cm⁻³

***

Entry 11:
# Zr2TlGa (GGA-PBE, optimized geometry)
data_Zr2TlGa
_chemical_formula_sum 'Zr8 Tl4 Ga4'
_space_group_name_H-M_alt 'I -4 2 d'
_space_group_IT_number 122
_space_group_name_Hall 'I -4 2bw'
_cell_length_a 7.748
_cell_length_b 7.748
_cell_length_c 6.057
_cell_angle_alpha 90.00
_cell_angle_beta 90.00
_cell_angle_gamma 90.00
loop_
_atom_site_label
_atom_site_type_symbol
_atom_site_fract_x
_atom_site_fract_y
_atom_site_fract_z
_atom_site_occupancy
Zr1 Zr 0.235 0.250 0.125 1
Tl1 Tl 0.000 0.000 0.500 1
Ga1 Ga 0.000 0.000 0.000 1
# Total DFT energy (no corrections)   -22.54 eV per formula unit
# E_form   -0.01 eV/atom
# Volume   364 Å³/cell
# Energy above the most stable polymorph in this dataset   312 meV per atom
# Mass density   8.340 g cm⁻³

***

Entry 12:
# Pm4AgS5 (GGA-PBE, optimized geometry)
data_Pm4AgS5
_chemical_formula_sum 'Pm12 Ag3 S15'
_space_group_name_H-M_alt 'R -3 m'
_space_group_IT_number 166
_space_group_name_Hall '-R 3 2"'
_cell_length_a 4.0587
_cell_length_b 4.0587
_cell_length_c 48.3730
_cell_angle_alpha 90.00
_cell_angle_beta 90.00
_cell_angle_gamma 120.00
loop_
_atom_site_label
_atom_site_type_symbol
_atom_site_fract_x
_atom_site_fract_y
_atom_site_fract_z
_atom_site_occupancy
Pm1 Pm 0.0000 0.0000 0.1020 1
Pm2 Pm 0.0000 0.0000 0.2996 1
Ag1 Ag 0.0000 0.0000 0.5000 1
S1 S 0.0000 0.0000 0.0000 1
S2 S 0.0000 0.0000 0.1993 1
S3 S 0.0000 0.0000 0.4012 1
# Total DFT energy (no corrections)   -59.62 eV per formula unit
# ΔE_f (raw)   -1713 meV per atom
# Volume   690 Å³/cell
# Mass density   6.123 g cm⁻³

***

Entry 13:
# Tb3Pm2YSb6 (GGA-PBE, optimized geometry)
data_Tb3Pm2YSb6
_chemical_formula_sum 'Tb6 Pm4 Y2 Sb12'
_space_group_name_H-M_alt 'C 1 2/m 1'
_space_group_IT_number 12
_cell_length_a 19.313
_cell_length_b 4.433
_cell_length_c 8.860
_cell_angle_alpha 90.00
_cell_angle_beta 103.23
_cell_angle_gamma 90.00
loop_
_space_group_symop_operation_xyz
'x,y,z'
'-x,-y,-z'
'-x,y,-z'
'x,-y,z'
'x+1/2,y+1/2,z'
'-x+1/2,-y+1/2,-z'
'-x+1/2,y+1/2,-z'
'x+1/2,-y+1/2,z'
loop_
_atom_site_label
_atom_site_type_symbol
_atom_site_fract_x
_atom_site_fract_y
_atom_site_fract_z
_atom_site_occupancy
Tb1 Tb 0.000 0.000 0.000 1
Tb2 Tb 0.167 0.500 0.334 1
Pm1 Pm 0.166 0.500 0.833 1
Y1 Y 0.000 0.000 0.500 1
Sb1 Sb 0.002 0.500 0.251 1
Sb2 Sb 0.166 0.000 0.086 1
Sb3 Sb 0.166 0.000 0.579 1
# Total DFT energy (no corrections)   -68.54 eV per formula unit
# ΔE_f (raw)   -1162 meV per atom
# Volume   738 Å³/cell
# Mass density   7.134 g cm⁻³

***

Entry 14:
# Cs2PbI4 (GGA-PBE, optimized geometry)
data_Cs2PbI4
_chemical_formula_sum 'Cs4 Pb2 I8'
_space_group_name_H-M_alt 'I 4/m m m'
_space_group_IT_number 139
_space_group_name_Hall '-I 4 2'
_cell_length_a 6.353
_cell_length_b 6.353
_cell_length_c 19.486
_cell_angle_alpha 90.00
_cell_angle_beta 90.00
_cell_angle_gamma 90.00
loop_
_atom_site_label
_atom_site_type_symbol
_atom_site_fract_x
_atom_site_fract_y
_atom_site_fract_z
_atom_site_occupancy
Cs1 Cs 0.000 0.000 0.138 1
Pb1 Pb 0.000 0.000 0.500 1
I1 I 0.000 0.000 0.334 1
I2 I 0.000 0.500 0.000 1
# Total DFT energy (no corrections)   -19.74 eV per formula unit
# ΔE_f (raw)   -1160 meV per atom
# Volume   786 Å³/cell
# Energy above the most stable polymorph in this dataset   10 meV per atom
# Mass density   4.141 g cm⁻³

***

Entry 15:
# SmMg2GeIr2 (GGA-PBE, optimized geometry)
data_SmMg2GeIr2
_chemical_formula_sum 'Sm1 Mg2 Ge1 Ir2'
_space_group_name_H-M_alt 'P 4/m m m'
_space_group_IT_number 123
_space_group_name_Hall '-P 4 2'
_cell_length_a 4.685
_cell_length_b 4.685
_cell_length_c 5.928
_cell_angle_alpha 90.00
_cell_angle_beta 90.00
_cell_angle_gamma 90.00
loop_
_atom_site_label
_atom_site_type_symbol
_atom_site_fract_x
_atom_site_fract_y
_atom_site_fract_z
_atom_site_occupancy
Sm1 Sm 0.000 0.000 0.000 1
Mg1 Mg 0.500 0.500 0.250 1
Ge1 Ge 0.000 0.000 0.500 1
Ir1 Ir 0.000 0.500 0.500 1
# Total DFT energy (no corrections)   -31.16 eV per formula unit
# E_form   -0.15 eV/atom
# Volume   130 Å³/cell
# Mass density   8.371 g cm⁻³

***

Entry 16:
# CaMo2OsRh (GGA-PBE, optimized geometry)
data_CaMo2OsRh
_chemical_formula_sum 'Ca1 Mo2 Os1 Rh1'
_space_group_name_H-M_alt 'P 4/m m m'
_space_group_IT_number 123
_space_group_name_Hall '-P 4 2'
_cell_length_a 4.708
_cell_length_b 4.708
_cell_length_c 5.269
_cell_angle_alpha 90.00
_cell_angle_beta 90.00
_cell_angle_gamma 90.00
loop_
_atom_site_label
_atom_site_type_symbol
_atom_site_fract_x
_atom_site_fract_y
_atom_site_fract_z
_atom_site_occupancy
Ca1 Ca 0.000 0.000 0.000 1
Mo1 Mo 0.000 0.500 0.500 1
Os1 Os 0.000 0.000 0.500 1
Rh1 Rh 0.500 0.500 0.000 1
# Total DFT energy (no corrections)   -35.01 eV per formula unit
# E_form   1.45 eV/atom
# Volume   117 Å³/cell
# Mass density   7.467 g cm⁻³

***

Entry 17:
# VPbS2Cl (GGA-PBE, optimized geometry)
data_VPbS2Cl
_chemical_formula_sum 'V1 Pb1 S2 Cl1'
_space_group_name_H-M_alt 'P 4/m m m'
_space_group_IT_number 123
_space_group_name_Hall '-P 4 2'
_cell_length_a 5.175
_cell_length_b 5.175
_cell_length_c 5.132
_cell_angle_alpha 90.00
_cell_angle_beta 90.00
_cell_angle_gamma 90.00
loop_
_atom_site_label
_atom_site_type_symbol
_atom_site_fract_x
_atom_site_fract_y
_atom_site_fract_z
_atom_site_occupancy
V1 V 0.000 0.000 0.000 1
Pb1 Pb 0.500 0.500 0.500 1
S1 S 0.000 0.500 0.500 1
Cl1 Cl 0.500 0.500 0.000 1
# Total DFT energy (no corrections)   -20.25 eV per formula unit
# ΔE_f (raw)   537 meV per atom
# Volume   137 Å³/cell
# Energy above the most stable polymorph in this dataset   1093 meV per atom
# Mass density   4.322 g cm⁻³

***

Entry 18:
# AgPbO3 (GGA-PBE, optimized geometry)
data_AgPbO3
_chemical_formula_sum 'Ag6 Pb6 O18'
_space_group_name_H-M_alt 'R -3 c'
_space_group_IT_number 167
_space_group_name_Hall '-R 3 2"c'
_cell_length_a 5.8531
_cell_length_b 5.8531
_cell_length_c 14.6743
_cell_angle_alpha 90.00
_cell_angle_beta 90.00
_cell_angle_gamma 120.00
loop_
_atom_site_label
_atom_site_type_symbol
_atom_site_fract_x
_atom_site_fract_y
_atom_site_fract_z
_atom_site_occupancy
Ag1 Ag 0.0000 0.0000 0.2500 1
Pb1 Pb 0.0000 0.0000 0.0000 1
O1 O 0.0000 0.3681 0.2500 1
# Total DFT energy (no corrections)   -23.16 eV per formula unit
# ΔE_f (raw)   -346 meV per atom
# Volume   435 Å³/cell
# Mass density   8.309 g cm⁻³

***

Entry 19:
# CoMo5 (GGA-PBE, optimized geometry)
data_CoMo5
_chemical_formula_sum 'Co2 Mo10'
_space_group_name_H-M_alt 'C m m m'
_space_group_IT_number 65
_space_group_name_Hall '-C 2 2'
_cell_length_a 4.364
_cell_length_b 13.103
_cell_length_c 3.180
_cell_angle_alpha 90.00
_cell_angle_beta 90.00
_cell_angle_gamma 90.00
loop_
_atom_site_label
_atom_site_type_symbol
_atom_site_fract_x
_atom_site_fract_y
_atom_site_fract_z
_atom_site_occupancy
Co1 Co 0.000 0.000 0.000 1
Mo1 Mo 0.000 0.165 0.500 1
Mo2 Mo 0.000 0.338 0.000 1
Mo3 Mo 0.000 0.500 0.500 1
# Total DFT energy (no corrections)   -60.61 eV per formula unit
# E_form   0.11 eV/atom
# Volume   182 Å³/cell
# Energy above the most stable polymorph in this dataset   0 meV per atom
# Mass density   9.839 g cm⁻³

***

Entry 20:
# BeTlRh2 (GGA-PBE, optimized geometry)
data_BeTlRh2
_chemical_formula_sum 'Be1 Tl1 Rh2'
_space_group_name_H-M_alt 'P 4 m m'
_space_group_IT_number 99
_cell_length_a 3.089
_cell_length_b 3.089
_cell_length_c 6.459
_cell_angle_alpha 90.00
_cell_angle_beta 90.00
_cell_angle_gamma 90.00
loop_
_space_group_symop_operation_xyz
'x,y,z'
'-y,x,z'
'-x,-y,z'
'y,-x,z'
'-x,y,z'
'y,x,z'
'x,-y,z'
'-y,-x,z'
loop_
_atom_site_label
_atom_site_type_symbol
_atom_site_fract_x
_atom_site_fract_y
_atom_site_fract_z
_atom_site_occupancy
Be1 Be 0.000 0.000 0.000 1
Tl1 Tl 0.500 0.500 0.656 1
Rh1 Rh 0.000 0.000 0.378 1
Rh2 Rh 0.500 0.500 0.092 1
# Total DFT energy (no corrections)   -20.71 eV per formula unit
# E_form   0.02 eV/atom
# Volume   62 Å³/cell
# Energy above the most stable polymorph in this dataset   158 meV per atom
# Mass density   11.295 g cm⁻³